Below is a relaxed structure of Li2FeF6, with properties calculated at the PBE with a Hubbard U level.

Output
Final energy   -4.6365 eV per atom
M_tot   0.2229 μB per atom
Space-group type   No. 136
ρ   3.17 g/cm3

Unit cell a=4.6264 b=4.6264 c=8.9822 alpha=90.00 beta=90.00 gamma=90.00
Closest atoms and distances in Å follow each position.
Fractional positions:
Li  0.0000  0.0000  0.1671  6 F 2.03-2.10
Li  0.0000  0.0000  0.8329  6 F 2.03-2.10
Li  0.5000  0.5000  0.3329  6 F 2.03-2.10
Li  0.5000  0.5000  0.6671  6 F 2.03-2.10
Fe  0.0000  0.0000  0.5000  6 F 1.81-1.85
Fe  0.5000  0.5000  0.0000  6 F 1.81-1.85
F  0.1902  0.1902  0.3483  1 Fe 1.85, 2 Li 2.03-2.05
F  0.1902  0.1902  0.6517  1 Fe 1.85, 2 Li 2.03-2.05
F  0.2234  0.2234  0.0000  1 Fe 1.81
F  0.2766  0.7234  0.5000  1 Fe 1.81
F  0.3098  0.6902  0.1517  1 Fe 1.85, 2 Li 2.03-2.05
F  0.3098  0.6902  0.8483  1 Fe 1.85, 2 Li 2.03-2.05
F  0.6902  0.3098  0.1517  1 Fe 1.85, 2 Li 2.03-2.05
F  0.6902  0.3098  0.8483  1 Fe 1.85, 2 Li 2.03-2.05
F  0.7234  0.2766  0.5000  1 Fe 1.81
F  0.7766  0.7766  0.0000  1 Fe 1.81
F  0.8098  0.8098  0.3483  1 Fe 1.85, 2 Li 2.03-2.05
F  0.8098  0.8098  0.6517  1 Fe 1.85, 2 Li 2.03-2.05